Record 1
Entry from Alexandria: HgTeHN2 after structural relaxation (PBE-GGA).

Cell lengths 4.3858, 4.3858, 3.5384 Å; angles 90.00, 90.00, 90.00 degrees
Each line ends with the local moment (μB).
Positions (direct):
H (0.0000, 0.0000, 0.0000)  0.02
N (0.5000, 0.0000, 0.0000)  0.58
N (0.0000, 0.5000, 0.0000)  0.58
Hg (0.5000, 0.5000, 0.5000)  -0.01
Te (0.0000, 0.0000, 0.5000)  -0.04

Output
Space-group type: P4/mmm (123)
Distance to the lowest polymorph of the same formula: 0.0 kJ/mol of atoms



Record 2
Entry from Alexandria: RuPt2Se after structural relaxation (PBE-GGA).

Cell lengths 2.8798, 2.8798, 7.7705 Å; angles 90.00, 90.00, 90.00 degrees
Positions (direct):
Pt (0.0000, 0.0000, 0.0135)
Pt (0.5000, 0.5000, 0.2641)
Se (0.5000, 0.5000, 0.7078)
Ru (0.0000, 0.0000, 0.5145)

Output
ΔE_f (raw): 0.15 eV/atom
Space-group type: P4mm (99)



Copy entry 2 word for word.
Entry from Alexandria: RuPt2Se after structural relaxation (PBE-GGA).

Cell lengths 2.8798, 2.8798, 7.7705 Å; angles 90.00, 90.00, 90.00 degrees
Positions (direct):
Pt (0.0000, 0.0000, 0.0135)
Pt (0.5000, 0.5000, 0.2641)
Se (0.5000, 0.5000, 0.7078)
Ru (0.0000, 0.0000, 0.5145)

Output
ΔE_f (raw): 0.15 eV/atom
Space-group type: P4mm (99)